P:
Computed, not measured: a relaxed TlSi2Rh crystal at the PBE level of DFT.

Unit cell a=4.836 b=4.836 c=4.836 alpha=127.23 beta=127.23 gamma=77.87
Sites, in units of the cell vectors:
Rh: 0.750 0.250 0.500
Si: 0.500 0.500 0.000
Tl: 0.250 0.750 0.500
Si: 0.000 0.000 0.000

=====

Q:
Computed, not measured: a relaxed TlSi2Rh crystal at the PBE level of DFT.

Unit cell a=4.482 b=4.482 c=6.509 alpha=73.44 beta=73.44 gamma=39.92
Sites, in units of the cell vectors:
Si: 0.937 0.937 0.108
Si: 0.765 0.765 0.794
Tl: 0.574 0.574 0.509
Rh: 0.224 0.224 0.089

=====

R:
Computed, not measured: a relaxed TlSi2Rh crystal at the PBE level of DFT.

Unit cell a=6.011 b=6.011 c=6.011 alpha=152.41 beta=133.10 gamma=55.28
Sites, in units of the cell vectors:
Tl: 0.750 0.250 0.500
Rh: 0.250 0.750 0.500
Si: 0.451 0.451 0.000
Si: 0.049 0.049 0.000

=====

Energy ordering: Q at the bottom, the next structure 21.4 kJ/mol of atoms above.

=====

P:
Computed, not measured: a relaxed TlSi2Rh crystal at the PBE level of DFT.

Unit cell a=3.823 b=3.832 c=4.808 alpha=90.00 beta=90.00 gamma=90.00
Sites, in units of the cell vectors:
Rh: 0.000 0.500 0.500
Si: 0.000 0.000 0.000
Tl: 0.500 0.000 0.500
Si: 0.500 0.500 0.000

=====

Q:
Computed, not measured: a relaxed TlSi2Rh crystal at the PBE level of DFT.

Unit cell a=8.159 b=8.159 c=8.159 alpha=22.74 beta=22.74 gamma=22.74
Sites, in units of the cell vectors:
Si: 0.264 0.264 0.264
Rh: 0.734 0.734 0.734
Si: 0.005 0.005 0.005
Tl: 0.497 0.497 0.497

=====

R:
Computed, not measured: a relaxed TlSi2Rh crystal at the PBE level of DFT.

Unit cell a=4.620 b=4.620 c=4.620 alpha=60.00 beta=60.00 gamma=60.00
Sites, in units of the cell vectors:
Tl: 0.500 0.500 0.500
Si: 0.250 0.250 0.250
Rh: 0.000 0.000 0.000
Si: 0.750 0.750 0.750

=====

S:
Computed, not measured: a relaxed TlSi2Rh crystal at the PBE level of DFT.

Unit cell a=5.452 b=5.452 c=3.855 alpha=69.75 beta=69.75 gamma=120.20
Sites, in units of the cell vectors:
Si: 0.000 0.000 0.000
Si: 0.500 0.500 0.000
Rh: 0.000 0.500 0.500
Tl: 0.500 0.000 0.500

=====

Energy ordering: Q at the bottom, the next structure 31.0 kJ/mol of atoms above.

=====

P:
Computed, not measured: a relaxed TlSi2Rh crystal at the PBE level of DFT.

Unit cell a=4.190 b=4.190 c=6.364 alpha=75.14 beta=75.14 gamma=52.28
Sites, in units of the cell vectors:
Si: 0.533 0.533 0.365
Tl: 0.750 0.750 0.750
Si: 0.967 0.967 0.135
Rh: 0.250 0.250 0.250

=====

Q:
Computed, not measured: a relaxed TlSi2Rh crystal at the PBE level of DFT.

Unit cell a=3.050 b=3.160 c=7.603 alpha=90.00 beta=90.00 gamma=90.00
Sites, in units of the cell vectors:
Si: 0.500 0.500 0.171
Tl: 0.000 0.000 0.517
Rh: 0.500 0.500 0.834
Si: 0.000 0.000 0.978

=====

R:
Computed, not measured: a relaxed TlSi2Rh crystal at the PBE level of DFT.

Unit cell a=5.097 b=5.097 c=5.097 alpha=140.39 beta=119.54 gamma=74.72
Sites, in units of the cell vectors:
Rh: 0.208 0.708 0.500
Si: 0.008 0.008 0.000
Tl: 0.499 0.499 0.000
Si: 0.785 0.285 0.500

=====

S:
Computed, not measured: a relaxed TlSi2Rh crystal at the PBE level of DFT.

Unit cell a=4.518 b=4.518 c=8.510 alpha=74.61 beta=74.61 gamma=90.00
Sites, in units of the cell vectors:
Si: 0.875 0.763 0.750
Tl: 0.750 0.250 0.500
Si: 0.237 0.625 0.250
Rh: 0.500 0.500 0.000
Rh: 0.250 0.750 0.500
Tl: 0.000 0.000 0.000
Si: 0.513 0.125 0.250
Si: 0.375 0.487 0.750

=====

Energy ordering: P at the bottom, the next structure 10.0 kJ/mol of atoms above.